Record 1
VASP calculation (GGA-PBE) on Ba3Pm after structural relaxation.

Unit cell a=5.929 b=5.929 c=5.929 alpha=90.00 beta=90.00 gamma=90.00
Space group Pm-3m (No. 221)
Inequivalent atoms, fractional coordinates:
Ba (0.000, 0.000, 0.500) [3 per cell]
Pm (0.500, 0.500, 0.500) [1 per cell]

Formation enthalpy at 0 K: 0.2083 eV per atom
Density of states at the Fermi level: 6.80 states/eV/cell
Total moment: 0.001 μB per atom

Record 2
VASP calculation (GGA-PBE) on In2OsW after structural relaxation.

Unit cell a=6.600 b=6.600 c=6.600 alpha=90.00 beta=90.00 gamma=90.00
Space group F-43m (No. 216)
Inequivalent atoms, fractional coordinates:
In (0.000, 0.000, 0.000) [4 per cell]
In (0.250, 0.250, 0.250) [4 per cell]
Os (0.250, 0.250, 0.750) [4 per cell]
W (0.000, 0.000, 0.500) [4 per cell]

Formation enthalpy at 0 K: 0.7690 eV per atom
Density of states at the Fermi level: 22.84 states/eV/cell
Total moment: 0.000 μB per atom

Record 3
VASP calculation (GGA-PBE) on SiIr after structural relaxation.

Unit cell a=3.9429 b=3.9429 c=14.1180 alpha=90.00 beta=90.00 gamma=120.00
Space group R-3m (No. 166, hexagonal axes)
Inequivalent atoms, fractional coordinates:
Si (0.0000, 0.0000, 0.2261) [6 per cell]
Ir (0.0000, 0.0000, 0.3997) [6 per cell]

Density of states at the Fermi level: 2.73 states/eV/cell
Formation energy (no corrections): -238 meV per atom
Total moment: 0.000 μB per atom

Record 4
VASP calculation (GGA-PBE) on MgZn2CoAu after structural relaxation.

Unit cell a=4.508 b=4.508 c=4.689 alpha=90.00 beta=90.00 gamma=90.00
Space group P4/mmm (No. 123)
Inequivalent atoms, fractional coordinates:
Mg (0.000, 0.000, 0.000) [1 per cell]
Zn (0.000, 0.500, 0.500) [2 per cell]
Co (0.000, 0.000, 0.500) [1 per cell]
Au (0.500, 0.500, 0.000) [1 per cell]

Formation enthalpy at 0 K: 0.3712 eV per atom
Density of states at the Fermi level: 2.72 states/eV/cell
Total moment: 0.000 μB per atom

Record 5
VASP calculation (GGA-PBE) on TlGaAg2F6 after structural relaxation.

Unit cell a=6.074 b=6.077 c=6.097 alpha=62.00 beta=62.10 gamma=61.93
Space group P-1 (No. 2)
Inequivalent atoms, fractional coordinates:
Tl (0.000, 0.000, 0.000) [1 per cell]
Ga (0.500, 0.500, 0.500) [1 per cell]
Ag (0.271, 0.271, 0.270) [2 per cell]
F (0.166, 0.672, 0.434) [2 per cell]
F (0.334, 0.566, 0.832) [2 per cell]
F (0.431, 0.169, 0.668) [2 per cell]

Density of states at the Fermi level: 0.00 states/eV/cell
Formation energy (no corrections): -1837 meV per atom
Total moment: 0.000 μB per atom

Record 6
VASP calculation (GGA-PBE) on ErTcF after structural relaxation.

Unit cell a=4.0236 b=4.0236 c=23.2905 alpha=90.00 beta=90.00 gamma=120.00
Space group R-3m (No. 166, hexagonal axes)
Inequivalent atoms, fractional coordinates:
Er (0.0000, 0.0000, 0.0940) [6 per cell]
Tc (0.0000, 0.0000, 0.3426) [6 per cell]
F (0.0000, 0.0000, 0.1925) [6 per cell]

Density of states at the Fermi level: 10.64 states/eV/cell
Formation energy (no corrections): -1759 meV per atom
Total moment: 0.000 μB per atom

Record 7
VASP calculation (GGA-PBE) on Rb3PrSm2Te6 after structural relaxation.

Unit cell a=8.017 b=13.886 c=8.978 alpha=90.00 beta=107.32 gamma=90.00
Space group C2/m (No. 12)
Inequivalent atoms, fractional coordinates:
Rb (0.000, 0.000, 0.000) [2 per cell]
Rb (0.000, 0.334, 0.000) [4 per cell]
Pr (0.000, 0.500, 0.500) [2 per cell]
Sm (0.000, 0.167, 0.500) [4 per cell]
Te (0.230, 0.000, 0.704) [4 per cell]
Te (0.237, 0.331, 0.704) [8 per cell]

Formation energy (no corrections): -1405 meV per atom
Total moment: 0.000 μB per atom

Record 8
VASP calculation (GGA-PBE) on BaMgUO5 after structural relaxation.

Unit cell a=7.477 b=9.956 c=8.161 alpha=90.00 beta=115.63 gamma=90.00
Space group C2/c (No. 15)
Inequivalent atoms, fractional coordinates:
Ba (0.000, 0.171, 0.250) [4 per cell]
Mg (0.000, 0.190, 0.750) [4 per cell]
U (0.000, 0.500, 0.000) [4 per cell]
O (0.000, 0.436, 0.250) [4 per cell]
O (0.087, 0.304, 0.595) [8 per cell]
O (0.209, 0.057, 0.900) [8 per cell]

Density of states at the Fermi level: 0.00 states/eV/cell
Formation energy (no corrections): -3032 meV per atom
Total moment: 0.000 μB per atom

Record 9
VASP calculation (GGA-PBE) on Cs2HgOsI6 after structural relaxation.

Unit cell a=12.176 b=12.176 c=12.176 alpha=90.00 beta=90.00 gamma=90.00
Space group Fm-3m (No. 225)
Inequivalent atoms, fractional coordinates:
Cs (0.250, 0.250, 0.250) [8 per cell]
Hg (0.000, 0.000, 0.000) [4 per cell]
Os (0.000, 0.000, 0.500) [4 per cell]
I (0.000, 0.000, 0.276) [24 per cell]

Density of states at the Fermi level: 30.57 states/eV/cell
Formation energy (no corrections): -539 meV per atom
Total moment: 0.200 μB per atom

Record 10
VASP calculation (GGA-PBE) on Te2PtAu after structural relaxation.

Unit cell a=6.218 b=6.218 c=12.122 alpha=90.00 beta=90.00 gamma=90.00
Space group I-42d (No. 122)
Inequivalent atoms, fractional coordinates:
Te (0.229, 0.250, 0.125) [8 per cell]
Pt (0.000, 0.000, 0.000) [4 per cell]
Au (0.000, 0.000, 0.500) [4 per cell]

Density of states at the Fermi level: 14.68 states/eV/cell
Formation energy (no corrections): -68 meV per atom
Total moment: 0.000 μB per atom

Record 11
VASP calculation (GGA-PBE) on NdSmEr2Tm after structural relaxation.

Unit cell a=6.380 b=16.660 c=6.374 alpha=90.00 beta=90.00 gamma=90.00
Space group Cmcm (No. 63)
Inequivalent atoms, fractional coordinates:
Nd (0.000, 0.158, 0.250) [4 per cell]
Sm (0.000, 0.343, 0.250) [4 per cell]
Er (0.250, 0.000, 0.000) [8 per cell]
Tm (0.000, 0.247, 0.750) [4 per cell]

Formation enthalpy at 0 K: 0.3579 eV per atom
Density of states at the Fermi level: 33.04 states/eV/cell
Total moment: 0.000 μB per atom

Record 12
VASP calculation (GGA-PBE) on Ca2CdHg2 after structural relaxation.

Unit cell a=8.663 b=8.663 c=3.903 alpha=90.00 beta=90.00 gamma=90.00
Space group P4/mbm (No. 127)
Inequivalent atoms, fractional coordinates:
Ca (0.154, 0.346, 0.000) [4 per cell]
Cd (0.000, 0.000, 0.000) [2 per cell]
Hg (0.143, 0.643, 0.500) [4 per cell]

Formation enthalpy at 0 K: -0.3101 eV per atom
Density of states at the Fermi level: 6.57 states/eV/cell
Total moment: 0.000 μB per atom

Record 13
VASP calculation (GGA-PBE) on K2YP after structural relaxation.

Unit cell a=4.370 b=4.370 c=12.490 alpha=90.00 beta=90.00 gamma=90.00
Space group I4/mmm (No. 139)
Inequivalent atoms, fractional coordinates:
K (0.000, 0.500, 0.250) [4 per cell]
Y (0.000, 0.000, 0.000) [2 per cell]
P (0.000, 0.000, 0.500) [2 per cell]

Formation enthalpy at 0 K: -0.0236 eV per atom
Density of states at the Fermi level: 5.30 states/eV/cell
Total moment: 0.000 μB per atom

Record 14
VASP calculation (GGA-PBE) on CaTaBSe2 after structural relaxation.

Unit cell a=4.918 b=4.918 c=4.221 alpha=90.00 beta=90.00 gamma=90.00
Space group P4/mmm (No. 123)
Inequivalent atoms, fractional coordinates:
Ca (0.000, 0.000, 0.000) [1 per cell]
Ta (0.500, 0.500, 0.000) [1 per cell]
B (0.500, 0.500, 0.500) [1 per cell]
Se (0.000, 0.500, 0.500) [2 per cell]

Density of states at the Fermi level: 3.39 states/eV/cell
Formation energy (no corrections): 243 meV per atom
Total moment: 0.370 μB per atom

Record 15
VASP calculation (GGA-PBE) on Tm2TlSe after structural relaxation.

Unit cell a=3.8255 b=3.8255 c=24.5506 alpha=90.00 beta=90.00 gamma=120.00
Space group R3m (No. 160, hexagonal axes)
Inequivalent atoms, fractional coordinates:
Tm (0.0000, 0.0000, 0.0000) [3 per cell]
Tm (0.0000, 0.0000, 0.1911) [3 per cell]
Tl (0.0000, 0.0000, 0.4287) [3 per cell]
Se (0.0000, 0.0000, 0.5965) [3 per cell]

Density of states at the Fermi level: 6.70 states/eV/cell
Formation energy (no corrections): -953 meV per atom
Total moment: 0.000 μB per atom

Record 16
VASP calculation (GGA-PBE) on OsPt8 after structural relaxation.

Unit cell a=8.418 b=8.418 c=3.941 alpha=90.00 beta=90.00 gamma=90.00
Space group I4/mmm (No. 139)
Inequivalent atoms, fractional coordinates:
Os (0.000, 0.000, 0.000) [2 per cell]
Pt (0.000, 0.330, 0.000) [8 per cell]
Pt (0.163, 0.163, 0.500) [8 per cell]

Formation enthalpy at 0 K: 0.0433 eV per atom
Density of states at the Fermi level: 30.36 states/eV/cell
Total moment: 0.001 μB per atom

Record 17
VASP calculation (GGA-PBE) on Ba2PW after structural relaxation.

Unit cell a=3.782 b=5.672 c=11.155 alpha=90.00 beta=90.00 gamma=90.00
Space group Imm2 (No. 44)
Inequivalent atoms, fractional coordinates:
Ba (0.000, 0.000, 0.000) [2 per cell]
Ba (0.000, 0.500, 0.186) [2 per cell]
P (0.000, 0.500, 0.754) [2 per cell]
W (0.000, 0.000, 0.378) [2 per cell]

Formation enthalpy at 0 K: 0.2218 eV per atom
Density of states at the Fermi level: 9.38 states/eV/cell
Total moment: 0.169 μB per atom

Record 18
VASP calculation (GGA-PBE) on Tm2TlS after structural relaxation.

Unit cell a=6.517 b=3.757 c=8.153 alpha=90.00 beta=105.30 gamma=90.00
Space group C2/m (No. 12)
Inequivalent atoms, fractional coordinates:
Tm (0.233, 0.000, 0.201) [4 per cell]
Tl (0.000, 0.000, 0.500) [2 per cell]
S (0.000, 0.500, 0.000) [2 per cell]

Density of states at the Fermi level: 3.47 states/eV/cell
Formation energy (no corrections): -1141 meV per atom
Total moment: 0.000 μB per atom

Record 19
VASP calculation (GGA-PBE) on LiPrOs2O8 after structural relaxation.

Unit cell a=5.315 b=5.315 c=11.478 alpha=90.00 beta=90.00 gamma=90.00
Space group I-4 (No. 82)
Inequivalent atoms, fractional coordinates:
Li (0.000, 0.000, 0.000) [2 per cell]
Pr (0.000, 0.500, 0.750) [2 per cell]
Os (0.000, 0.000, 0.500) [2 per cell]
Os (0.000, 0.500, 0.250) [2 per cell]
O (0.156, 0.746, 0.166) [8 per cell]
O (0.159, 0.243, 0.584) [8 per cell]

Density of states at the Fermi level: 8.06 states/eV/cell
Formation energy (no corrections): -1499 meV per atom
Total moment: 0.320 μB per atom

Record 20
VASP calculation (GGA-PBE) on EuFeTe2 after structural relaxation.

Unit cell a=4.1226 b=4.1226 c=20.0189 alpha=90.00 beta=90.00 gamma=120.00
Space group R-3m (No. 166, hexagonal axes)
Inequivalent atoms, fractional coordinates:
Eu (0.0000, 0.0000, 0.0000) [3 per cell]
Fe (0.0000, 0.0000, 0.5000) [3 per cell]
Te (0.0000, 0.0000, 0.2272) [6 per cell]

Density of states at the Fermi level: 22.45 states/eV/cell
Formation energy (no corrections): -516 meV per atom
Total moment: 1.749 μB per atom